This record from Alexandria describes a relaxed structure of HoMoIO4. The functional is GGA+U.

a b c (Å): 6.5175 6.5175 7.1070
angles (deg): 103.63 103.63 67.22
Closest atoms and distances in Å follow each position.
Element x y z (fractional)
Ho 0.2445 0.2445 0.1335  4 O 2.29-2.32
Ho 0.7555 0.7555 0.8665  4 O 2.29-2.32
Mo 0.3651 0.3651 0.7351  4 O 1.78-1.82
Mo 0.6349 0.6349 0.2649  4 O 1.78-1.82
I 0.0175 0.0175 0.7530  2 Ho 3.10-3.17, 5 O 3.31-3.41
I 0.9825 0.9825 0.2470  2 Ho 3.10-3.17, 5 O 3.31-3.41
O 0.1129 0.4978 0.8504  1 Mo 1.82
O 0.3033 0.3033 0.4742  1 Mo 1.78
O 0.4633 0.4633 0.1994  1 Mo 1.79
O 0.4978 0.1129 0.8504  1 Mo 1.82
O 0.5022 0.8871 0.1496  1 Mo 1.82
O 0.5367 0.5367 0.8006  1 Mo 1.79
O 0.6967 0.6967 0.5258  1 Mo 1.78
O 0.8871 0.5022 0.1496  1 Mo 1.82

Summary:
- V: 19.1 Å³/atom
- DOS(E_F): 0.001 states/eV/atom
- SG: C2/m (12)
- Raw total energy: -6.784 eV/atom